# 1
Entry from the Alexandria database: an optimized crystal structure of NaPaTl2O4 (PBE).

The structure in CIF format:
```
data_NaPaTl2O4
_space_group_name_H-M_alt 'P 1 2/m 1'
_space_group_IT_number 10
_cell_length_a 6.0695
_cell_length_b 3.6238
_cell_length_c 6.7996
_cell_angle_alpha 90.00
_cell_angle_beta 107.37
_cell_angle_gamma 90.00
loop_
_space_group_symop_operation_xyz
'x,y,z'
'-x,-y,-z'
'-x,y,-z'
'x,-y,z'
loop_
_atom_site_label
_atom_site_fract_x
_atom_site_fract_y
_atom_site_fract_z
_atom_site_occupancy
Na1 0.0000 0.0000 0.0000 1
Pa1 0.5000 0.5000 0.0000 1
Tl1 0.0000 0.5000 0.5000 1
Tl2 0.5000 0.0000 0.5000 1
O1 0.2779 0.5000 0.1766 1
O2 0.3018 0.0000 0.8242 1
```

Summary:
As for the calculated density: 8.456 g/cm3. The density of states at the Fermi level comes out at 0.00 states/eV/atom. Its uncorrected formation energy is -2.083 eV/atom. The value obtained for the total energy is -52.0 eV/cell.

# 2
Entry from the Alexandria database: an optimized crystal structure of SiAgRu (PBE).

The structure in CIF format:
```
data_SiAgRu
_space_group_name_H-M_alt 'F m m 2'
_space_group_IT_number 42
_space_group_name_Hall 'F 2 -2'
_cell_length_a 3.1138
_cell_length_b 4.7649
_cell_length_c 12.6528
_cell_angle_alpha 90.00
_cell_angle_beta 90.00
_cell_angle_gamma 90.00
loop_
_atom_site_label
_atom_site_fract_x
_atom_site_fract_y
_atom_site_fract_z
_atom_site_occupancy
Si1 0.0000 0.0000 0.0000 1
Ag1 0.0000 0.0000 0.3248 1
Ru1 0.0000 0.0000 0.6326 1
```

Summary:
As for the calculated density: 8.386 g/cm3. The density of states at the Fermi level comes out at 0.38 states/eV/atom. The energy above the most stable polymorph in this dataset comes out at 0.68 eV per formula unit. Its uncorrected formation energy is 0.194 eV/atom. The value obtained for the total energy is -67.9 eV/cell.

# 3
Entry from the Alexandria database: an optimized crystal structure of Pu2BeFe (PBE).

The structure in CIF format:
```
data_Pu2BeFe
_space_group_name_H-M_alt 'P 4/m m m'
_space_group_IT_number 123
_space_group_name_Hall '-P 4 2'
_cell_length_a 3.5221
_cell_length_b 3.5221
_cell_length_c 4.4994
_cell_angle_alpha 90.00
_cell_angle_beta 90.00
_cell_angle_gamma 90.00
loop_
_atom_site_label
_atom_site_fract_x
_atom_site_fract_y
_atom_site_fract_z
_atom_site_occupancy
Pu1 0.0000 0.5000 0.0000 1
Be1 0.0000 0.0000 0.5000 1
Fe1 0.5000 0.5000 0.5000 1
```

Summary:
As for the calculated density: 16.447 g/cm3. The density of states at the Fermi level comes out at 1.50 states/eV/atom. The energy above the most stable polymorph in this dataset comes out at 0.72 eV per formula unit. The calculation puts the calculated formation energy at 0.38 eV per atom. The value obtained for the total energy is -39.3 eV/cell.

Copy entry 2 word for word.
Entry from the Alexandria database: an optimized crystal structure of SiAgRu (PBE).

The structure in CIF format:
```
data_SiAgRu
_space_group_name_H-M_alt 'F m m 2'
_space_group_IT_number 42
_space_group_name_Hall 'F 2 -2'
_cell_length_a 3.1138
_cell_length_b 4.7649
_cell_length_c 12.6528
_cell_angle_alpha 90.00
_cell_angle_beta 90.00
_cell_angle_gamma 90.00
loop_
_atom_site_label
_atom_site_fract_x
_atom_site_fract_y
_atom_site_fract_z
_atom_site_occupancy
Si1 0.0000 0.0000 0.0000 1
Ag1 0.0000 0.0000 0.3248 1
Ru1 0.0000 0.0000 0.6326 1
```

Summary:
As for the calculated density: 8.386 g/cm3. The density of states at the Fermi level comes out at 0.38 states/eV/atom. The energy above the most stable polymorph in this dataset comes out at 0.68 eV per formula unit. Its uncorrected formation energy is 0.194 eV/atom. The value obtained for the total energy is -67.9 eV/cell.

Please write out number 2 again, unchanged.
Entry from the Alexandria database: an optimized crystal structure of SiAgRu (PBE).

The structure in CIF format:
```
data_SiAgRu
_space_group_name_H-M_alt 'F m m 2'
_space_group_IT_number 42
_space_group_name_Hall 'F 2 -2'
_cell_length_a 3.1138
_cell_length_b 4.7649
_cell_length_c 12.6528
_cell_angle_alpha 90.00
_cell_angle_beta 90.00
_cell_angle_gamma 90.00
loop_
_atom_site_label
_atom_site_fract_x
_atom_site_fract_y
_atom_site_fract_z
_atom_site_occupancy
Si1 0.0000 0.0000 0.0000 1
Ag1 0.0000 0.0000 0.3248 1
Ru1 0.0000 0.0000 0.6326 1
```

Summary:
As for the calculated density: 8.386 g/cm3. The density of states at the Fermi level comes out at 0.38 states/eV/atom. The energy above the most stable polymorph in this dataset comes out at 0.68 eV per formula unit. Its uncorrected formation energy is 0.194 eV/atom. The value obtained for the total energy is -67.9 eV/cell.